[1]
First-principles (PBE) data for a relaxed HoRhBr crystal, as listed in the Alexandria database.

Values from the calculation:
ΔE_f (raw)   -0.8596 eV per atom
Uncorrected energy   -5.394 eV/atom
Space-group type   C2/m (12)

Cell: 3.7898 5.2854 11.6353 Å, 116.53 80.63 68.99°
Last column: nearest neighbours and their distance in Å.
Fractional positions:
Ho 0.7481 0.1141 0.3898  1 Br 2.78, 5 Rh 2.81-2.89
Ho 0.2519 0.8859 0.6102  1 Br 2.78, 5 Rh 2.81-2.89
Rh 0.0419 0.5301 0.3861  1 Br 2.53, 1 Rh 2.79, 2 Ho 2.81
Rh 0.9581 0.4699 0.6139  1 Br 2.53, 1 Rh 2.79, 2 Ho 2.81
Br 0.1795 0.4850 0.1560  1 Rh 2.53, 1 Ho 2.78
Br 0.8205 0.5150 0.8440  1 Rh 2.53, 1 Ho 2.78

---

[2]
First-principles (PBE) data for a relaxed Ho3RhBr3 crystal, as listed in the Alexandria database.

Values from the calculation:
ΔE_f (raw)   -1.3531 eV per atom
Uncorrected energy   -5.082 eV/atom
Space-group type   P2_1/m (11)

Cell: 4.0703 8.5222 11.8241 Å, 91.60 90.00 90.00°
Last column: nearest neighbours and their distance in Å.
Fractional positions:
Ho 0.2500 0.2680 0.6017  2 Rh 2.73
Ho 0.7500 0.7320 0.3983  2 Rh 2.73
Ho 0.2500 0.8525 0.6376  3 Rh 2.72-2.90
Ho 0.7500 0.1475 0.3624  3 Rh 2.72-2.90
Ho 0.2500 0.9001 0.1726  1 Rh 2.75, 4 Br 2.90-2.99
Ho 0.7500 0.0999 0.8274  1 Rh 2.75, 4 Br 2.90-2.99
Rh 0.2500 0.9458 0.4040  6 Ho 2.72-2.90
Rh 0.7500 0.0542 0.5960  6 Ho 2.72-2.90
Br 0.2500 0.4324 0.3691  5 Ho 3.12-3.28
Br 0.7500 0.5676 0.6309  5 Ho 3.12-3.28
Br 0.2500 0.8670 0.9009  4 Ho 2.99-3.22
Br 0.7500 0.1330 0.0991  4 Ho 2.99-3.22
Br 0.2500 0.3405 0.8578  3 Ho 2.90-3.07
Br 0.7500 0.6595 0.1422  3 Ho 2.90-3.07

---

[3]
First-principles (PBE) data for a relaxed SmHoRhBr crystal, as listed in the Alexandria database.

Values from the calculation:
ΔE_f (raw)   -1.0695 eV per atom
Uncorrected energy   -5.650 eV/atom
Space-group type   R3m (160)

Cell: 4.0148 4.0139 8.1084 Å, 90.00 104.34 120.01°
Last column: nearest neighbours and their distance in Å.
Fractional positions:
Sm 0.5085 0.1519 0.6760  3 Rh 2.79
Ho 0.0981 0.9469 0.0606  3 Rh 2.73
Rh 0.3077 0.5516 0.8749  3 Ho 2.73, 3 Sm 2.79
Br 0.9637 0.3804 0.3582  3 Ho 3.27-3.28, 3 Sm 3.38-3.39

---

[4]
First-principles (PBE) data for a relaxed HoSBr crystal, as listed in the Alexandria database.

Values from the calculation:
ΔE_f (raw)   -1.9940 eV per atom
Uncorrected energy   -5.453 eV/atom
Space-group type   P4_2/mmc (131)

Cell: 5.4102 8.2511 8.2511 Å, 90.00 90.00 90.00°
Last column: nearest neighbours and their distance in Å.
Fractional positions:
Ho 0.0000 0.5000 0.7496  4 S 2.72-2.75, 2 Br 2.81
Ho 0.5000 0.2504 0.5000  4 S 2.72-2.75, 2 Br 2.81
Ho 0.5000 0.7496 0.5000  4 S 2.72-2.75, 2 Br 2.81
Ho 0.0000 0.5000 0.2504  4 S 2.72-2.75, 2 Br 2.81
S 0.0000 0.7208 0.5000  4 Ho 2.72-2.75
S 0.5000 0.5000 0.7208  4 Ho 2.72-2.75
S 0.5000 0.5000 0.2792  4 Ho 2.72-2.75
S 0.0000 0.2792 0.5000  4 Ho 2.72-2.75
Br 0.0000 0.7314 0.0000  2 Ho 2.81
Br 0.5000 0.0000 0.7314  2 Ho 2.81
Br 0.5000 0.0000 0.2686  2 Ho 2.81
Br 0.0000 0.2686 0.0000  2 Ho 2.81

---

[5]
First-principles (PBE) data for a relaxed Ho2SBr crystal, as listed in the Alexandria database.

Values from the calculation:
ΔE_f (raw)   -1.4391 eV per atom
Uncorrected energy   -5.178 eV/atom
Space-group type   R-3m (166)

Cell: 3.7807 3.7807 7.8825 Å, 76.12 76.12 60.00°
Last column: nearest neighbours and their distance in Å.
Fractional positions:
S 0.0000 0.0000 0.0000  6 Ho 2.65
Ho 0.2672 0.2672 0.1984  3 S 2.65
Ho 0.7328 0.7328 0.8016  3 S 2.65
Br 0.5000 0.5000 0.5000  6 Ho 3.16

---

[6]
First-principles (PBE) data for a relaxed Ho2SBr crystal, as listed in the Alexandria database.

Values from the calculation:
ΔE_f (raw)   -1.4373 eV per atom
Uncorrected energy   -5.176 eV/atom
Space-group type   R3m (160)

Cell: 3.7465 3.7465 7.9685 Å, 76.40 76.40 60.00°
Last column: nearest neighbours and their distance in Å.
Fractional positions:
Ho 0.0688 0.0688 0.7935  3 S 2.68
Ho 0.2660 0.2660 0.2019  3 S 2.66
S 0.6668 0.6668 0.9995  6 Ho 2.66-2.68
Br 0.4983 0.4983 0.5051  6 Ho 3.09-3.18

---

[7]
First-principles (PBE) data for a relaxed Ho2SBr2 crystal, as listed in the Alexandria database.

Values from the calculation:
ΔE_f (raw)   -1.8384 eV per atom
Uncorrected energy   -5.164 eV/atom
Space-group type   C2/m (12)

Cell: 3.9454 3.9422 11.0795 Å, 80.92 79.74 59.97°
Last column: nearest neighbours and their distance in Å.
Fractional positions:
Ho 0.7152 0.2009 0.3688  3 S 2.69, 3 Br 2.92
Ho 0.2848 0.7991 0.6312  3 S 2.69, 3 Br 2.92
S 0.0000 0.5000 0.5000  6 Ho 2.69
Br 0.4444 0.9113 0.1999  3 Ho 2.92
Br 0.5556 0.0887 0.8001  3 Ho 2.92

---

[8]
First-principles (PBE) data for a relaxed HoSBr crystal, as listed in the Alexandria database.

Values from the calculation:
ΔE_f (raw)   -1.9423 eV per atom
Uncorrected energy   -5.402 eV/atom
Space-group type   P3m1 (156)

Cell: 4.0498 4.0498 6.7570 Å, 90.00 90.00 120.00°
Last column: nearest neighbours and their distance in Å.
Fractional positions:
S 0.0000 0.0000 0.1246  3 Ho 2.63
Ho 0.6667 0.3333 0.3028  3 S 2.63
Br 0.3333 0.6667 0.5726  3 Ho 2.97